Record 1
Hf2CoTcH: optimized geometry, PBE.

a = 4.4879 Å, b = 4.4879 Å, c = 3.4643 Å
α = 90.00°, β = 90.00°, γ = 90.00°
Atoms (fractional coordinates):
Hf 0.0000 0.5000 0.0000
Hf 0.5000 0.0000 0.0000
Co 0.0000 0.0000 0.5000
Tc 0.5000 0.5000 0.5000
H 0.5000 0.5000 0.0000

Output
Total DFT energy (no corrections) in eV per atom: -8.46
Size of the total moment in μB/cell: 0.00
DOS(E_F) in states/eV per atom: 0.49



Record 2
PuNb2Mo: optimized geometry, PBE.

a = 3.2239 Å, b = 3.2239 Å, c = 7.3357 Å
α = 90.00°, β = 90.00°, γ = 90.00°
Atoms (fractional coordinates):
Pu 0.0000 0.0000 0.0000
Nb 0.5000 0.5000 0.2824
Nb 0.5000 0.5000 0.7176
Mo 0.0000 0.0000 0.5000

Output
Total DFT energy (no corrections) in eV per atom: -11.20
Size of the total moment in μB/cell: 5.15
ΔE_f in eV/atom: 0.129
DOS(E_F) in states/eV per atom: 1.43



Record 3
Zn2InGa: optimized geometry, PBE.

a = 3.0679 Å, b = 3.0679 Å, c = 8.1202 Å
α = 90.00°, β = 90.00°, γ = 90.00°
Atoms (fractional coordinates):
Zn 0.0000 0.0000 0.2309
Zn 0.0000 0.0000 0.7691
In 0.5000 0.5000 0.5000
Ga 0.5000 0.5000 0.0000

Output
Total DFT energy (no corrections) in eV per atom: -1.98
Size of the total moment in μB/cell: 0.00
ΔE_f in eV/atom: 0.103
DOS(E_F) in states/eV per atom: 0.36



Record 4
Pm19Y4Er6: optimized geometry, PBE.

a = 10.9517 Å, b = 10.9517 Å, c = 10.9517 Å
α = 109.47°, β = 109.47°, γ = 109.47°
Atoms (fractional coordinates):
Pm 0.0000 0.0000 0.0000
Pm 0.0000 0.2614 0.2614
Pm 0.0000 0.7386 0.7386
Pm 0.0185 0.2183 0.6760
Pm 0.1998 0.9815 0.6575
Pm 0.2183 0.6760 0.0185
Pm 0.2614 0.0000 0.2614
Pm 0.2614 0.2614 0.0000
Pm 0.3240 0.5423 0.3425
Pm 0.3425 0.3240 0.5423
Pm 0.4577 0.7817 0.8002
Pm 0.5423 0.3425 0.3240
Pm 0.6575 0.1998 0.9815
Pm 0.6760 0.0185 0.2183
Pm 0.7386 0.0000 0.7386
Pm 0.7386 0.7386 0.0000
Pm 0.7817 0.8002 0.4577
Pm 0.8002 0.4577 0.7817
Pm 0.9815 0.6575 0.1998
Y 0.0000 0.0000 0.3598
Y 0.0000 0.3598 0.0000
Y 0.3598 0.0000 0.0000
Y 0.6402 0.6402 0.6402
Er 0.1252 0.5000 0.6252
Er 0.3748 0.8748 0.5000
Er 0.5000 0.3748 0.8748
Er 0.5000 0.6252 0.1252
Er 0.6252 0.1252 0.5000
Er 0.8748 0.5000 0.3748

Output
Total DFT energy (no corrections) in eV per atom: -4.57
Size of the total moment in μB/cell: 0.00
ΔE_f in eV/atom: 0.377
DOS(E_F) in states/eV per atom: 1.54